! Er3MgAl, relaxed, DFT GGA-PBE; values from VASP
! formation energy = 15.4 kJ/mol of atoms
! relative energy among the computed polymorphs = 355 meV/atom
! space group = P6_3/mmc
! E = -3.65 eV/atom
! density of states at the Fermi level = 2.1 states/eV/f.u.
! M_tot = 0.00 Bohr magnetons per cell
! density = 6.47 g/cm3
&SYSTEM
  ibrav = 0, nat = 10, ntyp = 3
/
ATOMIC_SPECIES
Er 167.26 Er.upf
Mg 24.30 Mg.upf
Al 26.98 Al.upf
CELL_PARAMETERS angstrom
8.1665 0.0000 0.0000
-4.0833 7.0724 0.0000
0.0000 0.0000 4.9133
ATOMIC_POSITIONS angstrom
Er 0.0000 2.8070 1.2283
Er -1.6523 5.6689 1.2283
Er 2.4310 1.4035 3.6850
Er 1.6523 5.6689 1.2283
Er 5.7356 1.4035 3.6850
Er 4.0833 4.2654 3.6850
Mg 0.0000 0.0000 0.0000
Mg 0.0000 0.0000 2.4566
Al 0.0000 4.7150 3.6850
Al 4.0833 2.3575 1.2283

! Er2Mg3Al2, relaxed, DFT GGA-PBE; values from VASP
! formation energy = -22.5 kJ/mol of atoms
! space group = Cmmm
! E = -3.29 eV/atom
! density of states at the Fermi level = 3.0 states/eV/f.u.
! M_tot = 0.00 Bohr magnetons per cell
! density = 4.69 g/cm3
&SYSTEM
  ibrav = 0, nat = 14, ntyp = 3
/
ATOMIC_SPECIES
Er 167.26 Er.upf
Mg 24.30 Mg.upf
Al 26.98 Al.upf
CELL_PARAMETERS angstrom
4.4829 0.0000 0.0000
0.0000 21.3377 0.0000
0.0000 0.0000 3.4147
ATOMIC_POSITIONS angstrom
Er 0.0000 3.4545 0.0000
Er 0.0000 17.8832 0.0000
Er 2.2415 7.2144 0.0000
Er 2.2415 14.1234 0.0000
Mg 0.0000 0.0000 0.0000
Mg 0.0000 9.0752 1.7074
Mg 0.0000 12.2626 1.7074
Mg 2.2415 1.5937 1.7074
Mg 2.2415 10.6689 0.0000
Mg 2.2415 19.7440 1.7074
Al 0.0000 6.0556 1.7074
Al 0.0000 15.2821 1.7074
Al 2.2415 4.6132 1.7074
Al 2.2415 16.7245 1.7074

! Er12MgAl3, relaxed, DFT GGA-PBE; values from VASP
! formation energy = -13.0 kJ/mol of atoms
! space group = P4/mmm
! E = -4.36 eV/atom
! density of states at the Fermi level = 22.0 states/eV/f.u.
! M_tot = 0.00 Bohr magnetons per cell
! density = 8.16 g/cm3
&SYSTEM
  ibrav = 0, nat = 16, ntyp = 3
/
ATOMIC_SPECIES
Er 167.26 Er.upf
Mg 24.30 Mg.upf
Al 26.98 Al.upf
CELL_PARAMETERS angstrom
4.7499 0.0000 0.0000
0.0000 4.7499 0.0000
0.0000 0.0000 19.0628
ATOMIC_POSITIONS angstrom
Er 0.0000 0.0000 0.0000
Er 0.0000 0.0000 4.6938
Er 0.0000 0.0000 9.5314
Er 0.0000 0.0000 14.3690
Er 0.0000 2.3750 2.3474
Er 0.0000 2.3750 7.0238
Er 0.0000 2.3750 12.0390
Er 0.0000 2.3750 16.7154
Er 2.3750 0.0000 2.3474
Er 2.3750 0.0000 7.0238
Er 2.3750 0.0000 12.0390
Er 2.3750 0.0000 16.7154
Mg 2.3750 2.3750 9.5314
Al 2.3750 2.3750 0.0000
Al 2.3750 2.3750 4.7048
Al 2.3750 2.3750 14.3579

! ErMg2Al, relaxed, DFT GGA-PBE; values from VASP
! formation energy = -18.9 kJ/mol of atoms
! relative energy among the computed polymorphs = 0 meV/atom
! space group = P4/mmm
! E = -3.07 eV/atom
! density of states at the Fermi level = 1.9 states/eV/f.u.
! M_tot = 0.00 Bohr magnetons per cell
! density = 4.46 g/cm3
&SYSTEM
  ibrav = 0, nat = 4, ntyp = 3
/
ATOMIC_SPECIES
Er 167.26 Er.upf
Mg 24.30 Mg.upf
Al 26.98 Al.upf
CELL_PARAMETERS angstrom
4.3583 0.0000 0.0000
0.0000 4.3583 0.0000
0.0000 0.0000 4.7608
ATOMIC_POSITIONS angstrom
Er 0.0000 0.0000 0.0000
Mg 0.0000 2.1792 2.3804
Mg 2.1792 0.0000 2.3804
Al 2.1792 2.1792 0.0000

! Er4MgAl3, relaxed, DFT GGA-PBE; values from VASP
! formation energy = -26.1 kJ/mol of atoms
! relative energy among the computed polymorphs = 63 meV/atom
! space group = Pmm2
! E = -4.15 eV/atom
! density of states at the Fermi level = 8.3 states/eV/f.u.
! M_tot = 0.01 Bohr magnetons per cell
! density = 6.58 g/cm3
&SYSTEM
  ibrav = 0, nat = 8, ntyp = 3
/
ATOMIC_SPECIES
Er 167.26 Er.upf
Mg 24.30 Mg.upf
Al 26.98 Al.upf
CELL_PARAMETERS angstrom
3.5758 0.0000 0.0000
0.0000 4.6111 0.0000
0.0000 0.0000 11.8552
ATOMIC_POSITIONS angstrom
Er 0.0000 0.0000 0.0000
Er 0.0000 2.3056 3.7094
Er 1.7879 0.0000 5.7909
Er 1.7879 2.3056 9.7540
Mg 0.0000 0.0000 8.5122
Al 0.0000 2.3056 6.9029
Al 1.7879 0.0000 2.6431
Al 1.7879 2.3056 1.0755

! Er3MgAl8, relaxed, DFT GGA-PBE; values from VASP
! formation energy = -37.0 kJ/mol of atoms
! space group = R3m
! E = -4.15 eV/atom
! density of states at the Fermi level = 7.3 states/eV/f.u.
! M_tot = 0.00 Bohr magnetons per cell
! density = 5.22 g/cm3
&SYSTEM
  ibrav = 0, nat = 12, ntyp = 3
/
ATOMIC_SPECIES
Er 167.26 Er.upf
Mg 24.30 Mg.upf
Al 26.98 Al.upf
CELL_PARAMETERS angstrom
2.7504 1.5880 8.9990
-2.7504 1.5880 8.9990
0.0000 -3.1759 8.9990
ATOMIC_POSITIONS angstrom
Er 0.0000 0.0000 0.0000
Er 0.0000 0.0000 3.4360
Er 0.0000 0.0000 16.8260
Mg 0.0000 0.0000 13.5043
Al -1.3789 -0.7961 10.7022
Al 0.0000 -1.5960 6.2103
Al -1.3821 0.7980 6.2103
Al 0.0000 0.0000 8.4459
Al 1.3789 -0.7961 10.7022
Al 0.0000 1.5922 10.7022
Al 1.3821 0.7980 6.2103
Al 0.0000 0.0000 21.9590

! Er3MgAl12, relaxed, DFT GGA-PBE; values from VASP
! formation energy = -28.9 kJ/mol of atoms
! space group = P4/mmm
! E = -4.06 eV/atom
! density of states at the Fermi level = 7.4 states/eV/f.u.
! M_tot = 0.00 Bohr magnetons per cell
! density = 4.72 g/cm3
&SYSTEM
  ibrav = 0, nat = 16, ntyp = 3
/
ATOMIC_SPECIES
Er 167.26 Er.upf
Mg 24.30 Mg.upf
Al 26.98 Al.upf
CELL_PARAMETERS angstrom
4.2090 0.0000 0.0000
0.0000 4.2090 0.0000
0.0000 0.0000 16.8637
ATOMIC_POSITIONS angstrom
Er 0.0000 0.0000 0.0000
Er 0.0000 0.0000 4.2647
Er 0.0000 0.0000 12.5990
Mg 0.0000 0.0000 8.4318
Al 0.0000 2.1045 2.1375
Al 0.0000 2.1045 6.4345
Al 0.0000 2.1045 10.4292
Al 0.0000 2.1045 14.7262
Al 2.1045 0.0000 2.1375
Al 2.1045 0.0000 6.4345
Al 2.1045 0.0000 10.4292
Al 2.1045 0.0000 14.7262
Al 2.1045 2.1045 0.0000
Al 2.1045 2.1045 4.2301
Al 2.1045 2.1045 8.4318
Al 2.1045 2.1045 12.6335

! Er4MgAl3, relaxed, DFT GGA-PBE; values from VASP
! formation energy = -32.2 kJ/mol of atoms
! relative energy among the computed polymorphs = 0 meV/atom
! space group = Pmma
! E = -4.22 eV/atom
! density of states at the Fermi level = 4.6 states/eV/f.u.
! M_tot = 0.00 Bohr magnetons per cell
! density = 6.86 g/cm3
&SYSTEM
  ibrav = 0, nat = 16, ntyp = 3
/
ATOMIC_SPECIES
Er 167.26 Er.upf
Mg 24.30 Mg.upf
Al 26.98 Al.upf
CELL_PARAMETERS angstrom
10.2060 0.0000 0.0000
0.0000 7.1963 0.0000
0.0000 0.0000 5.1026
ATOMIC_POSITIONS angstrom
Er 0.0000 1.7631 0.0000
Er 0.0000 5.4332 0.0000
Er 2.5515 1.7629 2.5442
Er 2.5515 5.4334 2.5442
Er 5.1030 1.7631 0.0000
Er 5.1030 5.4332 0.0000
Er 7.6545 1.7629 2.5583
Er 7.6545 5.4334 2.5583
Mg 0.0000 3.5981 2.5513
Mg 5.1030 3.5981 2.5513
Al 0.0000 0.0000 2.5513
Al 2.5515 0.0000 5.0939
Al 2.5515 3.5981 5.0941
Al 5.1030 0.0000 2.5513
Al 7.6545 0.0000 0.0087
Al 7.6545 3.5981 0.0085

! Er5Mg4Al, relaxed, DFT GGA-PBE; values from VASP
! formation energy = -13.4 kJ/mol of atoms
! space group = P4/mmm
! E = -3.43 eV/atom
! density of states at the Fermi level = 10.9 states/eV/f.u.
! M_tot = 0.00 Bohr magnetons per cell
! density = 6.18 g/cm3
&SYSTEM
  ibrav = 0, nat = 10, ntyp = 3
/
ATOMIC_SPECIES
Er 167.26 Er.upf
Mg 24.30 Mg.upf
Al 26.98 Al.upf
CELL_PARAMETERS angstrom
3.6986 0.0000 0.0000
0.0000 3.6986 0.0000
0.0000 0.0000 18.8668
ATOMIC_POSITIONS angstrom
Er 0.0000 0.0000 0.0000
Er 0.0000 0.0000 3.8506
Er 0.0000 0.0000 7.7074
Er 0.0000 0.0000 11.1593
Er 0.0000 0.0000 15.0162
Mg 1.8493 1.8493 1.9266
Mg 1.8493 1.8493 5.7686
Mg 1.8493 1.8493 13.0981
Mg 1.8493 1.8493 16.9401
Al 1.8493 1.8493 9.4334

! Er6MgAl5, relaxed, DFT GGA-PBE; values from VASP
! formation energy = -34.8 kJ/mol of atoms
! space group = Cmmm
! E = -4.33 eV/atom
! density of states at the Fermi level = 4.0 states/eV/f.u.
! M_tot = 0.00 Bohr magnetons per cell
! density = 6.95 g/cm3
&SYSTEM
  ibrav = 0, nat = 12, ntyp = 3
/
ATOMIC_SPECIES
Er 167.26 Er.upf
Mg 24.30 Mg.upf
Al 26.98 Al.upf
CELL_PARAMETERS angstrom
2.5474 -7.6614 0.0000
2.5474 7.6614 0.0000
0.0000 0.0000 7.1212
ATOMIC_POSITIONS angstrom
Er 0.0000 0.0000 1.7320
Er 0.0000 0.0000 5.3892
Er 2.5474 2.6024 1.7733
Er 2.5474 2.6024 5.3480
Er 2.5474 -2.6024 1.7733
Er 2.5474 -2.6024 5.3480
Mg 2.5474 0.0000 3.5606
Al 2.5474 5.2016 3.5606
Al 2.5474 5.1216 0.0000
Al 2.5474 0.0000 0.0000
Al 2.5474 -5.1216 0.0000
Al 2.5474 -5.2016 3.5606

! Er3Mg2Al2, relaxed, DFT GGA-PBE; values from VASP
! formation energy = -24.0 kJ/mol of atoms
! space group = Cmmm
! E = -3.73 eV/atom
! density of states at the Fermi level = 5.9 states/eV/f.u.
! M_tot = 0.00 Bohr magnetons per cell
! density = 5.87 g/cm3
&SYSTEM
  ibrav = 0, nat = 14, ntyp = 3
/
ATOMIC_SPECIES
Er 167.26 Er.upf
Mg 24.30 Mg.upf
Al 26.98 Al.upf
CELL_PARAMETERS angstrom
4.4153 0.0000 0.0000
0.0000 22.0787 0.0000
0.0000 0.0000 3.5053
ATOMIC_POSITIONS angstrom
Er 0.0000 0.0000 0.0000
Er 0.0000 3.6006 0.0000
Er 0.0000 18.4781 0.0000
Er 2.2076 7.4388 0.0000
Er 2.2076 11.0393 0.0000
Er 2.2076 14.6399 0.0000
Mg 0.0000 9.2558 1.7527
Mg 0.0000 12.8229 1.7527
Mg 2.2076 1.7835 1.7527
Mg 2.2076 20.2952 1.7527
Al 0.0000 6.2320 1.7527
Al 0.0000 15.8467 1.7527
Al 2.2076 4.8073 1.7527
Al 2.2076 17.2714 1.7527

! ErMg2Al, relaxed, DFT GGA-PBE; values from VASP
! formation energy = -3.4 kJ/mol of atoms
! relative energy among the computed polymorphs = 161 meV/atom
! space group = Fm-3m
! E = -2.91 eV/atom
! density of states at the Fermi level = 1.4 states/eV/f.u.
! M_tot = 0.00 Bohr magnetons per cell
! density = 4.58 g/cm3
&SYSTEM
  ibrav = 0, nat = 16, ntyp = 3
/
ATOMIC_SPECIES
Er 167.26 Er.upf
Mg 24.30 Mg.upf
Al 26.98 Al.upf
CELL_PARAMETERS angstrom
7.0621 0.0000 0.0000
0.0000 7.0621 0.0000
0.0000 0.0000 7.0621
ATOMIC_POSITIONS angstrom
Er 0.0000 0.0000 0.0000
Er 0.0000 3.5310 3.5310
Er 3.5310 0.0000 3.5310
Er 3.5310 3.5310 0.0000
Mg 1.7655 1.7655 1.7655
Mg 1.7655 1.7655 5.2965
Mg 1.7655 5.2965 1.7655
Mg 1.7655 5.2965 5.2965
Mg 5.2965 1.7655 1.7655
Mg 5.2965 1.7655 5.2965
Mg 5.2965 5.2965 1.7655
Mg 5.2965 5.2965 5.2965
Al 0.0000 0.0000 3.5310
Al 0.0000 3.5310 0.0000
Al 3.5310 0.0000 0.0000
Al 3.5310 3.5310 3.5310